Record 1
! NaTl2OsO6 PBE relaxed; values from VASP
! Formation energy without anion corrections, meV per atom: -874
&SYSTEM
  ibrav = 0, nat = 10, ntyp = 4
/
ATOMIC_SPECIES
O 16.00 O.upf
Os 190.23 Os.upf
Tl 204.38 Tl.upf
Na 22.99 Na.upf
ATOMIC_POSITIONS angstrom
O -0.340 -1.666 -0.820
Os 0.000 0.000 0.000
O -1.174 -2.718 -4.189
O 0.383 -7.062 0.159
O -1.668 -4.593 1.847
Tl 0.658 -2.086 -2.888
Tl -0.615 -6.642 2.227
Na -1.753 -2.228 1.130
O 1.217 -6.010 3.528
O 1.711 -4.135 -2.509
CELL_PARAMETERS angstrom
-3.505 -4.457 2.259
-1.442 -1.820 -5.828
4.990 -2.451 2.908


Record 2
! TbHo2ScSe6 PBE relaxed; values from VASP
! Formation energy without anion corrections, meV per atom: -1796
&SYSTEM
  ibrav = 0, nat = 10, ntyp = 4
/
ATOMIC_SPECIES
Se 78.96 Se.upf
Tb 158.93 Tb.upf
Ho 164.93 Ho.upf
Sc 44.96 Sc.upf
ATOMIC_POSITIONS angstrom
Se -0.965 9.416 2.321
Se -5.228 5.892 3.593
Tb -5.367 11.106 3.314
Ho 1.298 5.768 4.430
Se -4.798 9.405 1.011
Se -2.058 6.014 0.572
Sc -2.375 3.310 0.474
Se -1.416 6.518 4.540
Ho -3.226 7.640 2.589
Se -3.660 9.418 4.822
CELL_PARAMETERS angstrom
-2.022 6.456 -2.133
-5.505 3.205 3.121
1.454 5.872 4.597


Record 3
! HfZr3Pt2N PBE relaxed; values from VASP
! Formation energy without anion corrections, meV per atom: -1081
&SYSTEM
  ibrav = 0, nat = 7, ntyp = 4
/
ATOMIC_SPECIES
Pt 195.08 Pt.upf
Zr 91.22 Zr.upf
Hf 178.49 Hf.upf
N 14.01 N.upf
ATOMIC_POSITIONS angstrom
Pt -3.953 -2.796 1.439
Zr -3.669 -3.635 -1.578
Zr 0.854 -1.737 -1.028
Zr -1.931 -1.366 0.703
Hf -1.053 0.556 -1.814
N 0.000 0.000 0.000
Pt -1.648 -2.205 -2.315
CELL_PARAMETERS angstrom
-2.107 1.111 -3.628
1.708 -3.473 -2.056
-5.201 -2.639 4.808


Record 4
! CoReW2 PBE relaxed; values from VASP
! Energy of formation, eV/atom: 0.32
! Distance to the lowest polymorph of the same formula, eV/atom: 0.1936
&SYSTEM
  ibrav = 0, nat = 4, ntyp = 3
/
ATOMIC_SPECIES
W 183.84 W.upf
Co 58.93 Co.upf
Re 186.21 Re.upf
ATOMIC_POSITIONS angstrom
W -0.001 -0.045 0.012
Co -0.255 -13.156 3.520
Re -0.387 -19.969 5.343
W -0.124 -6.422 1.718
CELL_PARAMETERS angstrom
-0.264 -9.205 0.828
1.243 -8.641 3.046
-1.491 -8.550 3.188


| no. | E_tot (eV per cell) | spin magnetization (μB per formula unit) |
| --- | --- | --- |
| 1 | -55.77 | 0.0 |
| 2 | -58.99 | 0.0 |
| 3 | -63.57 | 0.0 |
| 4 | -44.19 | 0.7 |